(1)
A plane-wave DFT calculation with GGA-PBE was carried out for a relaxed structure of NaCe4S5.

The structure in CIF format:
```
data_NaCe4S5
_cell_length_a 9.043
_cell_length_b 9.043
_cell_length_c 5.695
_cell_angle_alpha 90.00
_cell_angle_beta 90.00
_cell_angle_gamma 90.00
_symmetry_space_group_name_H-M 'I 4/m'
_symmetry_Int_Tables_number 87
_symmetry_space_group_name_Hall '-I 4'
loop_
_atom_site_label
_atom_site_fract_x
_atom_site_fract_y
_atom_site_fract_z
Na1 0.000 0.000 0.000
Ce1 0.101 0.700 0.500
S1 0.000 0.000 0.500
S2 0.100 0.700 0.000
```

Summary:
* formation energy from raw total energies: -1.898 eV/atom
* Fermi-level density of states: 44.605 states/eV/cell

(2)
A plane-wave DFT calculation with GGA-PBE was carried out for a relaxed structure of NaCe3S4.

The structure in CIF format:
```
data_NaCe3S4
_cell_length_a 5.699
_cell_length_b 5.699
_cell_length_c 5.699
_cell_angle_alpha 90.00
_cell_angle_beta 90.00
_cell_angle_gamma 90.00
_symmetry_space_group_name_H-M 'P m -3 m'
_symmetry_Int_Tables_number 221
_symmetry_space_group_name_Hall '-P 4 2 3'
loop_
_atom_site_label
_atom_site_fract_x
_atom_site_fract_y
_atom_site_fract_z
Na1 0.000 0.000 0.000
Ce1 0.000 0.500 0.500
S1 0.000 0.000 0.500
S2 0.500 0.500 0.500
```

Summary:
* formation energy from raw total energies: -1.880 eV/atom
* Fermi-level density of states: 17.334 states/eV/cell

(3)
A plane-wave DFT calculation with GGA-PBE was carried out for a relaxed structure of Na5Ce3S8.

The structure in CIF format:
```
data_Na5Ce3S8
_cell_length_a 8.1970
_cell_length_b 8.1970
_cell_length_c 19.7526
_cell_angle_alpha 90.00
_cell_angle_beta 90.00
_cell_angle_gamma 120.00
_symmetry_space_group_name_H-M 'R -3 m'
_symmetry_Int_Tables_number 166
_symmetry_space_group_name_Hall '-R 3 2"'
loop_
_atom_site_label
_atom_site_fract_x
_atom_site_fract_y
_atom_site_fract_z
Na1 0.0000 0.0000 0.0000
Na2 0.0000 0.0000 0.5000
Na3 0.0000 0.5000 0.0000
Ce1 0.0000 0.5000 0.5000
S1 0.0000 0.0000 0.2444
S2 0.0156 0.5078 0.7578
```

Summary:
* formation energy from raw total energies: -1.601 eV/atom
* Fermi-level density of states: 41.543 states/eV/cell